First-principles (PBE) data for a relaxed La2Ag2Pt15 crystal, as listed in Alexandria via LeMat-Bulk.

abc: 7.035 7.035 7.035
angles: 83.72 83.72 83.72
Fractional coordinates of all 19 atoms:
La1 0.156 0.156 0.156
La2 0.844 0.844 0.844
Ag1 0.400 0.400 0.400
Ag2 0.600 0.600 0.600
Pt1 0.000 0.500 0.500
Pt2 0.156 0.156 0.662
Pt3 0.156 0.662 0.156
Pt4 0.186 0.500 0.814
Pt5 0.186 0.814 0.500
Pt6 0.338 0.844 0.844
Pt7 0.500 0.000 0.500
Pt8 0.500 0.186 0.814
Pt9 0.500 0.500 0.000
Pt10 0.500 0.814 0.186
Pt11 0.662 0.156 0.156
Pt12 0.814 0.186 0.500
Pt13 0.814 0.500 0.186
Pt14 0.844 0.338 0.844
Pt15 0.844 0.844 0.338

Calculated values
Uncorrected energy (eV per cell): -115.232
DOS at the Fermi energy (states/eV/atom): 0.77
Symmetry: R-3m
Volume (Å³ per atom): 18.0

First-principles (PBE) data for a relaxed Tb3Dy6Cd crystal, as listed in Alexandria via LeMat-Bulk.

abc: 10.886 10.886 6.085
angles: 90.00 90.00 119.86
Fractional coordinates of all 20 atoms:
Tb1 0.108 0.892 0.500
Tb2 0.232 0.440 0.074
Tb3 0.440 0.232 0.574
Tb4 0.560 0.768 0.074
Tb5 0.768 0.560 0.574
Tb6 0.892 0.108 0.000
Dy1 0.006 0.439 0.714
Dy2 0.111 0.214 0.518
Dy3 0.214 0.111 0.018
Dy4 0.237 0.763 0.872
Dy5 0.439 0.006 0.214
Dy6 0.445 0.555 0.599
Dy7 0.555 0.445 0.099
Dy8 0.561 0.994 0.714
Dy9 0.763 0.237 0.372
Dy10 0.786 0.889 0.518
Dy11 0.889 0.786 0.018
Dy12 0.994 0.561 0.214
Cd1 0.293 0.707 0.404
Cd2 0.707 0.293 0.904

Calculated values
Uncorrected energy (eV per cell): -83.791
DOS at the Fermi energy (states/eV/atom): 1.30
Symmetry: Cmc2_1
Volume (Å³ per atom): 31.3
Offset from the most stable computed form (kJ per mole of atoms): 6.78